1.
VASP calculation (PBE-GGA) on a relaxed BaCrCl2 crystal.

The structure belongs to space group R-3m (No. 166, hexagonal axes); the cell edges are 4.3216, 4.3216 and 26.1134 Å and the angles 90.00°, 90.00° and 120.00°. The distinct sites, in fractional coordinates, are Ba at (0.0000, 0.0000, 0.0000), Cr at (0.0000, 0.0000, 0.5000) and Cl at (0.0000, 0.0000, 0.4086).

The value obtained for the uncorrected formation energy is -0.899 eV per atom. For the density, the calculation gives 3.1 g/cm³. The total energy comes out at -4.709 eV per atom. The density of states at the Fermi level comes out at 1.85 states/eV/f.u. For the total magnetic moment, the calculation gives 16.1 μB/cell.



2.
VASP calculation (PBE-GGA) on a relaxed Li8Tl2Cd crystal.

The structure belongs to space group C2/m (No. 12); the cell edges are 14.643, 4.416 and 6.882 Å and the angles 90.00°, 110.49° and 90.00°. The distinct sites, in fractional coordinates, are Li at (0.038, 0.000, 0.231), Li at (0.096, 0.500, 0.948), Li at (0.142, 0.000, 0.693), Li at (0.177, 0.500, 0.407), Tl at (0.218, 0.000, 0.151) and Cd at (0.000, 0.500, 0.500).

The calculation puts the calculated formation energy at -4.51 kcal/mol of atoms. For the density, the calculation gives 4.6 g/cm³. The total energy comes out at -2.101 eV per atom. The density of states at the Fermi level comes out at 3.11 states/eV/f.u. For the total magnetic moment, the calculation gives 0.0 μB/cell.